Entry 1:
DFT (PBE) results for crystalline ScMo2W2 at its relaxed geometry.

Computed properties:
Calculated volume ... 177.93 Å³/cell
E above lowest polymorph ... 0.000 eV per atom
Space group ... P4/mbm (127)
ΔE_f ... 0.39 eV/atom
Crystal system ... tetragonal

abc: 7.7168 7.7168 2.9880
angles: 90.00 90.00 90.00
Closest atoms and distances in Å follow each position.
Sites, in units of the cell vectors:
Sc1 0.0000 0.0000 0.0000  4 Mo 2.94, 2 Sc 2.99
Sc2 0.5000 0.5000 0.0000  4 Mo 2.94, 2 Sc 2.99
Mo1 0.1492 0.3508 0.0000  6 W 2.68-2.73, 2 Sc 2.94, 2 Mo 2.99
Mo2 0.3508 0.8508 0.0000  6 W 2.68-2.73, 2 Sc 2.94, 2 Mo 2.99
Mo3 0.6492 0.1492 0.0000  6 W 2.68-2.73, 2 Sc 2.94, 2 Mo 2.99
Mo4 0.8508 0.6492 0.0000  6 W 2.68-2.73, 2 Sc 2.94, 2 Mo 2.99
W1 0.1474 0.6474 0.5000  6 Mo 2.68-2.73, 2 W 2.99
W2 0.3526 0.1474 0.5000  6 Mo 2.68-2.73, 2 W 2.99
W3 0.6474 0.8526 0.5000  6 Mo 2.68-2.73, 2 W 2.99
W4 0.8526 0.3526 0.5000  6 Mo 2.68-2.73, 2 W 2.99

=====

Entry 2:
DFT (PBE) results for crystalline YScMo at its relaxed geometry.

Computed properties:
Calculated volume ... 75.42 Å³/cell
E above lowest polymorph ... 0.436 eV per atom
Space group ... F-43m (216)
ΔE_f ... 0.67 eV/atom
Crystal system ... cubic

abc: 4.7425 4.7425 4.7425
angles: 60.00 60.00 60.00
Closest atoms and distances in Å follow each position.
Sites, in units of the cell vectors:
Y1 0.0000 0.0000 0.0000  4 Mo 2.90
Sc1 0.5000 0.5000 0.5000  4 Mo 2.90
Mo1 0.7500 0.7500 0.7500  4 Sc 2.90, 4 Y 2.90

=====

Entry 3:
DFT (PBE) results for crystalline YScMo at its relaxed geometry.

Computed properties:
Calculated volume ... 70.38 Å³/cell
E above lowest polymorph ... 0.191 eV per atom
Space group ... P3m1 (156)
ΔE_f ... 0.43 eV/atom
Crystal system ... trigonal

abc: 3.3583 3.3583 7.2058
angles: 90.00 90.00 120.00
Closest atoms and distances in Å follow each position.
Sites, in units of the cell vectors:
Y1 0.0000 0.0000 0.0000  3 Mo 2.92
Sc1 0.3333 0.6667 0.5762  3 Mo 2.76
Mo1 0.6667 0.3333 0.3035  3 Sc 2.76, 3 Y 2.92

=====

Look up the calculated volume of the first one. 177.93 Å³/cell